DFT (PBE-GGA) results for an optimized crystal structure of FeTc2.

a b c (Å): 7.140 7.140 7.140
angles (deg): 60.00 60.00 60.00
Fractional coordinates of all 6 atoms:
Fe (0.250, 0.250, 0.250)
Fe (0.500, 0.500, 0.500)
Tc (0.875, 0.375, 0.375)
Tc (0.375, 0.875, 0.375)
Tc (0.375, 0.375, 0.375)
Tc (0.375, 0.375, 0.875)

Summary:
Symmetry: Fd-3m, No. 227
Formation enthalpy at 0 K, eV per formula unit: 9.928
Calculated total energy, eV/atom: -6.37

DFT (PBE-GGA) results for an optimized crystal structure of TlFeTc3.

a b c (Å): 6.395 6.395 6.395
angles (deg): 134.33 110.61 87.09
Fractional coordinates of all 10 atoms:
Fe (0.000, 0.000, 0.000)
Fe (0.500, 0.000, 0.500)
Tc (0.671, 0.000, 0.171)
Tc (0.062, 0.812, 0.250)
Tc (0.329, 0.500, 0.329)
Tc (0.671, 0.500, 0.671)
Tc (0.938, 0.188, 0.750)
Tc (0.329, 0.000, 0.829)
Tl (0.760, 0.510, 0.250)
Tl (0.240, 0.490, 0.750)

Summary:
Symmetry: Imma, No. 74
Calculated total energy, eV/atom: -7.74